Entry 1:
! PBE Sr2Sm2O5, optimized geometry; values from VASP
! - Density: 5.7 g/cm3
! - Energy relative to the lowest polymorph listed for this composition: 0 meV/atom
! - Space-group type: P4/mmm
! - M_tot: 0.000 Bohr magnetons per cell
&SYSTEM
  ibrav = 0, nat = 9, ntyp = 3
/
ATOMIC_SPECIES
Sr 87.62 Sr.upf
Sm 150.36 Sm.upf
O 16.00 O.upf
ATOMIC_POSITIONS angstrom
Sr 0.0000 0.0000 0.0000
Sr 0.0000 0.0000 4.1512
Sm 2.2016 2.2016 1.9755
Sm 2.2016 2.2016 6.3270
O 0.0000 2.2016 1.5530
O 0.0000 2.2016 6.7494
O 2.2016 0.0000 1.5530
O 2.2016 0.0000 6.7494
O 2.2016 2.2016 4.1512
CELL_PARAMETERS angstrom
4.4033 0.0000 0.0000
0.0000 4.4033 0.0000
0.0000 0.0000 8.3025

Entry 2:
! PBE YCdPO, optimized geometry; values from VASP
! - Density: 5.1 g/cm3
! - E_tot: -5.90 eV per atom
! - Space-group type: Pmc2_1
! - M_tot: 0.002 Bohr magnetons per cell
&SYSTEM
  ibrav = 0, nat = 8, ntyp = 4
/
ATOMIC_SPECIES
Y 88.91 Y.upf
Cd 112.41 Cd.upf
P 30.97 P.upf
O 16.00 O.upf
ATOMIC_POSITIONS angstrom
Y 0.0000 0.2221 0.0000
Y 0.0000 5.9151 3.3179
Cd 1.9853 2.5085 2.5092
Cd 1.9853 3.6288 5.8271
P 1.9853 1.2874 4.8662
P 1.9853 4.8498 1.5482
O 0.0000 1.4465 1.8158
O 0.0000 4.6907 5.1338
CELL_PARAMETERS angstrom
3.9705 0.0000 0.0000
0.0000 6.1372 0.0000
0.0000 0.0000 6.6359

Entry 3:
! PBE TmTe, optimized geometry; values from VASP
! - Density: 6.4 g/cm3
! - E_tot: -4.57 eV per atom
! - Space-group type: F-43m
! - M_tot: 0.023 Bohr magnetons per cell
&SYSTEM
  ibrav = 0, nat = 8, ntyp = 2
/
ATOMIC_SPECIES
Tm 168.93 Tm.upf
Te 127.60 Te.upf
ATOMIC_POSITIONS angstrom
Tm 0.0000 0.0000 0.0000
Tm 0.0000 3.3810 3.3810
Tm 3.3810 0.0000 3.3810
Tm 3.3810 3.3810 0.0000
Te 1.6905 1.6905 1.6905
Te 1.6905 5.0715 5.0715
Te 5.0715 1.6905 5.0715
Te 5.0715 5.0715 1.6905
CELL_PARAMETERS angstrom
6.7620 0.0000 0.0000
0.0000 6.7620 0.0000
0.0000 0.0000 6.7620